1.
A plane-wave DFT calculation with PBE was carried out for a relaxed CaNiHg2Pb crystal.

abc: 5.0724 5.0724 5.0441
angles: 90.00 90.00 90.00
Last column: nearest neighbours and their distance in Å.
Element x y z (fractional)
Ca  0.0000  0.0000  0.0000  8 Hg 3.58, 4 Pb 3.59
Ni  0.5000  0.5000  0.5000  2 Pb 2.52, 4 Hg 2.54
Hg  0.0000  0.5000  0.5000  2 Ni 2.54
Hg  0.5000  0.0000  0.5000  2 Ni 2.54
Pb  0.5000  0.5000  0.0000  2 Ni 2.52

Summary:
* energy of formation from the pure elements: -110 meV per atom
* SG: P4/mmm, No. 123


2.
A plane-wave DFT calculation with PBE was carried out for a relaxed LiTl2BiPt crystal.

abc: 5.9219 5.9219 5.0647
angles: 90.00 90.00 90.00
Last column: nearest neighbours and their distance in Å.
Element x y z (fractional)
Li  0.0000  0.0000  0.0000  2 Bi 2.53
Tl  0.0000  0.5000  0.5000  2 Bi 2.96
Tl  0.5000  0.0000  0.5000  2 Bi 2.96
Bi  0.0000  0.0000  0.5000  2 Li 2.53
Pt  0.5000  0.5000  0.0000  8 Tl 3.90, 4 Li 4.19

Summary:
* energy of formation from the pure elements: 662 meV per atom
* SG: P4/mmm, No. 123


3.
A plane-wave DFT calculation with PBE was carried out for a relaxed DyTmHgRh crystal.

abc: 3.4761 3.4761 7.4552
angles: 90.00 90.00 90.00
Last column: nearest neighbours and their distance in Å.
Element x y z (fractional)
Dy  0.0000  0.0000  0.0000  4 Rh 2.98, 4 Hg 3.25, 1 Tm 3.29
Tm  0.0000  0.0000  0.5591  4 Rh 2.93, 4 Hg 3.20, 1 Dy 3.29
Hg  0.5000  0.5000  0.2850  4 Tm 3.20, 4 Dy 3.25, 4 Hg 3.48
Rh  0.5000  0.5000  0.7742  4 Tm 2.93, 4 Dy 2.98

Summary:
* energy of formation from the pure elements: -718 meV per atom
* SG: P4mm, No. 99
* energy above the most stable polymorph in this dataset: 0 meV per atom


4.
A plane-wave DFT calculation with PBE was carried out for a relaxed Pm2BiPd8 crystal.

abc: 8.3134 8.3134 8.3134
angles: 145.93 137.73 55.36
Last column: nearest neighbours and their distance in Å.
Element x y z (fractional)
Pm  0.1850  0.1850  0.0000  12 Pd 2.89-3.12
Pm  0.8150  0.8150  0.0000  12 Pd 2.89-3.12
Bi  0.5000  0.5000  0.0000  8 Pd 2.64-2.86
Pd  0.0953  0.3559  0.7394  1 Bi 2.64, 4 Pd 2.87-2.95, 2 Pm 2.89
Pd  0.2499  0.0000  0.2499  2 Bi 2.86, 4 Pd 3.00-3.08, 2 Pm 3.11
Pd  0.3173  0.8173  0.5000  8 Pd 2.93-3.08, 4 Pm 3.00-3.12
Pd  0.3836  0.6441  0.7394  1 Bi 2.64, 4 Pd 2.87-2.95, 2 Pm 2.89
Pd  0.6164  0.3559  0.2606  1 Bi 2.64, 4 Pd 2.87-2.95, 2 Pm 2.89
Pd  0.6827  0.1827  0.5000  8 Pd 2.93-3.08, 4 Pm 3.00-3.12
Pd  0.7501  0.0000  0.7501  2 Bi 2.86, 4 Pd 3.00-3.08, 2 Pm 3.11
Pd  0.9047  0.6441  0.2606  1 Bi 2.64, 4 Pd 2.87-2.95, 2 Pm 2.89

Summary:
* energy of formation from the pure elements: -509 meV per atom
* SG: Immm, No. 71


5.
A plane-wave DFT calculation with PBE was carried out for a relaxed Nd8Ho4Sc crystal.

abc: 10.4331 10.4331 10.4331
angles: 40.72 40.72 40.72
Last column: nearest neighbours and their distance in Å.
Element x y z (fractional)
Nd  0.2084  0.7480  0.7480  1 Sc 2.99, 2 Nd 3.34
Nd  0.2136  0.2136  0.2136  9 Nd 3.68-3.82, 3 Ho 4.02
Nd  0.2520  0.2520  0.7916  1 Sc 2.99, 2 Nd 3.34
Nd  0.2520  0.7916  0.2520  1 Sc 2.99, 2 Nd 3.34
Nd  0.7480  0.2084  0.7480  1 Sc 2.99, 2 Nd 3.34
Nd  0.7480  0.7480  0.2084  1 Sc 2.99, 2 Nd 3.34
Nd  0.7864  0.7864  0.7864  9 Nd 3.68-3.82, 3 Ho 4.02
Nd  0.7916  0.2520  0.2520  1 Sc 2.99, 2 Nd 3.34
Ho  0.0000  0.0000  0.0000  6 Nd 3.42, 6 Ho 3.63
Ho  0.0000  0.5000  0.5000  4 Nd 3.57, 6 Ho 3.63
Ho  0.5000  0.0000  0.5000  4 Nd 3.57, 6 Ho 3.63
Ho  0.5000  0.5000  0.0000  4 Nd 3.57, 6 Ho 3.63
Sc  0.5000  0.5000  0.5000  6 Nd 2.99

Summary:
* energy of formation from the pure elements: 175 meV per atom
* SG: R-3m, No. 166


6.
A plane-wave DFT calculation with PBE was carried out for a relaxed Y3Ga4Pt2 crystal.

abc: 5.7641 5.7641 8.5064
angles: 111.02 111.02 44.78
Last column: nearest neighbours and their distance in Å.
Element x y z (fractional)
Y  0.0000  0.0000  0.0000  8 Ga 2.97-3.25, 4 Pt 3.05
Y  0.3198  0.3198  0.3567  3 Pt 2.96-3.09, 7 Ga 3.05-3.23
Y  0.6802  0.6802  0.6433  3 Pt 2.96-3.09, 7 Ga 3.05-3.23
Ga  0.0194  0.0194  0.3577  2 Pt 2.57, 1 Ga 2.61
Ga  0.2574  0.2574  0.9171  1 Pt 2.59, 2 Ga 2.65
Ga  0.7426  0.7426  0.0829  1 Pt 2.59, 2 Ga 2.65
Ga  0.9806  0.9806  0.6423  2 Pt 2.57, 1 Ga 2.61
Pt  0.4003  0.4003  0.7313  3 Ga 2.57-2.59
Pt  0.5997  0.5997  0.2687  3 Ga 2.57-2.59

Summary:
* energy of formation from the pure elements: -952 meV per atom
* SG: C2/m, No. 12


7.
A plane-wave DFT calculation with PBE was carried out for a relaxed Mg6TlPb2 crystal.

abc: 7.9598 7.9598 4.0946
angles: 90.00 90.00 120.00
Last column: nearest neighbours and their distance in Å.
Element x y z (fractional)
Mg  0.0000  0.2635  0.0000  2 Tl 2.93, 2 Pb 2.97
Mg  0.0000  0.6166  0.5000  1 Tl 3.05, 4 Pb 3.21, 4 Mg 3.39
Mg  0.2635  0.0000  0.0000  2 Tl 2.93, 2 Pb 2.97
Mg  0.3834  0.3834  0.5000  1 Tl 3.05, 4 Pb 3.21, 4 Mg 3.39
Mg  0.6166  0.0000  0.5000  1 Tl 3.05, 4 Pb 3.21, 4 Mg 3.39
Mg  0.7365  0.7365  0.0000  2 Tl 2.93, 2 Pb 2.97
Tl  0.0000  0.0000  0.5000  9 Mg 2.93-3.05
Pb  0.3333  0.6667  0.0000  9 Mg 2.97-3.21
Pb  0.6667  0.3333  0.0000  9 Mg 2.97-3.21

Summary:
* energy of formation from the pure elements: -35 meV per atom
* SG: P-62m, No. 189
* energy above the most stable polymorph in this dataset: 17 meV per atom


8.
A plane-wave DFT calculation with PBE was carried out for a relaxed TmSc5Sn2 crystal.

abc: 6.0516 6.0516 15.9281
angles: 90.00 90.00 135.82
Last column: nearest neighbours and their distance in Å.
Element x y z (fractional)
Tm  0.2099  0.7901  0.7500  4 Sn 3.09, 5 Sc 3.12-3.45
Tm  0.7901  0.2099  0.2500  4 Sn 3.09, 5 Sc 3.12-3.45
Sc  0.0685  0.9315  0.2500  2 Sn 2.97, 1 Tm 3.12, 4 Sc 3.28
Sc  0.1259  0.8741  0.5413  3 Sn 2.91-2.98, 3 Sc 3.12-3.20
Sc  0.1259  0.8741  0.9587  3 Sn 2.91-2.98, 3 Sc 3.12-3.20
Sc  0.4451  0.5549  0.6019  7 Sc 3.20-3.47, 3 Sn 3.24-3.33, 1 Tm 3.54
Sc  0.4451  0.5549  0.8981  7 Sc 3.20-3.47, 3 Sn 3.24-3.33, 1 Tm 3.54
Sc  0.5549  0.4451  0.1019  7 Sc 3.20-3.47, 3 Sn 3.24-3.33, 1 Tm 3.54
Sc  0.5549  0.4451  0.3981  7 Sc 3.20-3.47, 3 Sn 3.24-3.33, 1 Tm 3.54
Sc  0.8741  0.1259  0.0413  3 Sn 2.91-2.98, 3 Sc 3.12-3.20
Sc  0.8741  0.1259  0.4587  3 Sn 2.91-2.98, 3 Sc 3.12-3.20
Sc  0.9315  0.0685  0.7500  2 Sn 2.97, 1 Tm 3.12, 4 Sc 3.28
Sn  0.2590  0.7410  0.1209  6 Sc 2.91-3.24, 2 Tm 3.09
Sn  0.2590  0.7410  0.3791  6 Sc 2.91-3.24, 2 Tm 3.09
Sn  0.7410  0.2590  0.6209  6 Sc 2.91-3.24, 2 Tm 3.09
Sn  0.7410  0.2590  0.8791  6 Sc 2.91-3.24, 2 Tm 3.09

Summary:
* energy of formation from the pure elements: -308 meV per atom
* SG: Cmcm, No. 63


Going through the records in order, we get total magnetization values of 0.00, 0.00, 0.00, 0.00, 0.00, 0.00, 0.00, 0.00 μB/f.u..